Compound: K2YAg
Source: the Alexandria database
Functional: PBE
Structure: relaxed

abc: 5.8370 5.8370 5.8370
angles: 120.13 120.13 89.78
Fractional coordinates of all 4 atoms:
K1 0.0000 0.0000 0.0000
K2 0.7500 0.2500 0.5000
Y1 0.2500 0.7500 0.5000
Ag1 0.5000 0.5000 0.0000

Values from the calculation:
Formation energy (eV/atom): 0.50
Volume (Å³/atom): 35.09